Record 1
First-principles (PBE) data for crystalline MgSc2PO at its relaxed geometry, as listed in Alexandria via LeMat-Bulk.

Cell lengths 4.425, 3.948, 4.425 Å; angles 90.00, 90.00, 90.00 degrees
Positions (direct):
O: 0.000 0.000 0.000
Sc: 0.500 0.000 0.000
Sc: 0.000 0.000 0.500
P: 0.500 0.500 0.500
Mg: 0.000 0.500 0.000

* symmetry: P4/mmm, No. 123
* E_tot: -6.26 eV/atom
* formation energy from raw total energies: -1.330 eV/atom

Record 2
First-principles (PBE) data for crystalline MgP2SeO at its relaxed geometry, as listed in Alexandria via LeMat-Bulk.

Cell lengths 4.972, 4.972, 3.647 Å; angles 90.00, 90.00, 90.00 degrees
Positions (direct):
Se: 0.500 0.500 0.500
P: 0.000 0.500 0.000
P: 0.500 0.000 0.000
Mg: 0.000 0.000 0.000
O: 0.000 0.000 0.500

* symmetry: P4/mmm, No. 123
* energy above the lowest structure with this stoichiometry: 69.1 meV per atom
* E_tot: -3.80 eV/atom
* formation energy from raw total energies: 0.366 eV/atom

Record 3
First-principles (PBE) data for crystalline MgPSeO2 at its relaxed geometry, as listed in Alexandria via LeMat-Bulk.

Cell lengths 3.855, 3.855, 4.937 Å; angles 90.00, 90.00, 90.00 degrees
Positions (direct):
O: 0.500 0.000 0.000
O: 0.000 0.500 0.000
Mg: 0.500 0.500 0.500
P: 0.000 0.000 0.500
Se: 0.000 0.000 0.000

* symmetry: P4/mmm, No. 123
* energy above the lowest structure with this stoichiometry: 0.0 meV per atom
* E_tot: -4.30 eV/atom
* formation energy from raw total energies: -0.214 eV/atom

Record 4
First-principles (PBE) data for crystalline MgPSeO2 at its relaxed geometry, as listed in Alexandria via LeMat-Bulk.

Cell lengths 3.766, 3.766, 6.798 Å; angles 90.00, 90.00, 90.00 degrees
Positions (direct):
O: 0.000 0.500 0.000
O: 0.500 0.000 0.000
P: 0.000 0.000 0.500
Mg: 0.000 0.000 0.000
Se: 0.500 0.500 0.500

* symmetry: P4/mmm, No. 123
* energy above the lowest structure with this stoichiometry: 77.5 meV per atom
* E_tot: -4.22 eV/atom
* formation energy from raw total energies: -0.137 eV/atom

Record 5
First-principles (PBE) data for crystalline MgP2SeO at its relaxed geometry, as listed in Alexandria via LeMat-Bulk.

Cell lengths 4.965, 4.965, 3.691 Å; angles 90.00, 90.00, 90.00 degrees
Positions (direct):
Se: 0.000 0.000 0.000
O: 0.000 0.000 0.500
P: 0.500 0.000 0.000
P: 0.000 0.500 0.000
Mg: 0.500 0.500 0.500

* symmetry: P4/mmm, No. 123
* energy above the lowest structure with this stoichiometry: 0.0 meV per atom
* E_tot: -3.87 eV/atom
* formation energy from raw total energies: 0.297 eV/atom

Record 6
First-principles (PBE) data for crystalline MgSn2P2O10 at its relaxed geometry, as listed in Alexandria via LeMat-Bulk.

Cell lengths 10.417, 9.141, 7.217 Å; angles 78.13, 59.18, 42.69 degrees
Positions (direct):
O: 0.956 0.577 0.852
O: 0.736 0.565 0.223
O: 0.788 0.907 0.207
O: 0.614 0.852 0.577
O: 0.027 0.774 0.514
O: 0.357 0.798 0.618
O: 0.392 0.098 0.397
O: 0.343 0.462 0.151
O: 0.099 0.207 0.907
O: 0.398 0.636 0.294
O: 0.452 0.893 0.023
O: 0.673 0.294 0.636
O: 0.476 0.223 0.565
O: 0.632 0.023 0.893
O: 0.853 0.137 0.858
O: 0.043 0.151 0.462
O: 0.152 0.858 0.137
O: 0.227 0.618 0.798
O: 0.113 0.397 0.098
O: 0.685 0.514 0.774
Sn: 0.356 0.865 0.863
Sn: 0.387 0.335 0.894
Sn: 0.915 0.863 0.865
Sn: 0.385 0.894 0.335
Mg: 0.753 0.747 0.747
Mg: 0.503 0.497 0.497
P: 0.227 0.684 0.274
P: 0.566 0.023 0.435
P: 0.976 0.435 0.023
P: 0.815 0.274 0.684

* symmetry: Fdd2, No. 43
* E_tot: -6.69 eV/atom
* formation energy from raw total energies: -2.019 eV/atom

Which of these has the lowest E_tot?
MgSn2P2O10

What did the third record say?
First-principles (PBE) data for crystalline MgPSeO2 at its relaxed geometry, as listed in Alexandria via LeMat-Bulk.

Cell lengths 3.855, 3.855, 4.937 Å; angles 90.00, 90.00, 90.00 degrees
Positions (direct):
O: 0.500 0.000 0.000
O: 0.000 0.500 0.000
Mg: 0.500 0.500 0.500
P: 0.000 0.000 0.500
Se: 0.000 0.000 0.000

* symmetry: P4/mmm, No. 123
* energy above the lowest structure with this stoichiometry: 0.0 meV per atom
* E_tot: -4.30 eV/atom
* formation energy from raw total energies: -0.214 eV/atom

Among the records above, which one has the highest formation energy from raw total energies?
number 2